Material: ZrAlOs2
Method: DFT, GGA-PBE
State: optimized geometry

Computed properties:
The calculation puts the electronic total energy at -8.8656 eV/atom. As for the density of states at the Fermi level: 2.63 states/eV/f.u. The value obtained for the formation enthalpy at 0 K is -0.18 eV/atom. As for the volume: 16.1 Å³ per atom.

Lattice parameters (Å, degrees): 4.442 2.913 5.116 77.16 90.00 90.00
Atoms (fractional coordinates):
Os 0.000 0.918 0.010
Os 0.500 0.254 0.219
Al 0.500 0.875 0.757
Zr 0.000 0.453 0.514